# PBE with a Hubbard U BeNbCrO2, optimized geometry
# VASP energy ... -5.96 eV/atom
# Magnetic moment ... 0.000 μB/atom
# Volume ... 67.1 Å³/cell
data_BeNbCrO2
_chemical_formula_sum 'Be1 Nb1 Cr1 O2'
_cell_length_a 3.612
_cell_length_b 3.612
_cell_length_c 5.143
_cell_angle_alpha 90.00
_cell_angle_beta 90.00
_cell_angle_gamma 90.00
_space_group_name_H-M_alt 'P 4/m m m'
_space_group_IT_number 123
_space_group_name_Hall '-P 4 2'
loop_
_atom_site_label
_atom_site_type_symbol
_atom_site_fract_x
_atom_site_fract_y
_atom_site_fract_z
_atom_site_occupancy
Be1 Be 0.000 0.000 0.000 1
Nb1 Nb 0.500 0.500 0.000 1
Cr1 Cr 0.500 0.500 0.500 1
O1 O 0.000 0.500 0.500 1